# 1
This record from Alexandria describes a relaxed structure of NbTe2I. The functional is PBE.

Lattice parameters (Å, degrees): 7.3898 7.3898 7.3898 90.00 90.00 90.00
Closest atoms and distances in Å follow each position.
Positions (direct):
Nb  0.0000  0.0000  0.0000  8 Te 3.20
Nb  0.0000  0.5000  0.5000  8 Te 3.20
Nb  0.5000  0.0000  0.5000  8 Te 3.20
Nb  0.5000  0.5000  0.0000  8 Te 3.20
Te  0.2500  0.2500  0.2500  4 Nb 3.20, 4 I 3.20
Te  0.2500  0.2500  0.7500  4 Nb 3.20, 4 I 3.20
Te  0.2500  0.7500  0.2500  4 Nb 3.20, 4 I 3.20
Te  0.2500  0.7500  0.7500  4 Nb 3.20, 4 I 3.20
Te  0.7500  0.2500  0.2500  4 Nb 3.20, 4 I 3.20
Te  0.7500  0.2500  0.7500  4 Nb 3.20, 4 I 3.20
Te  0.7500  0.7500  0.2500  4 Nb 3.20, 4 I 3.20
Te  0.7500  0.7500  0.7500  4 Nb 3.20, 4 I 3.20
I  0.0000  0.0000  0.5000  8 Te 3.20
I  0.0000  0.5000  0.0000  8 Te 3.20
I  0.5000  0.0000  0.0000  8 Te 3.20
I  0.5000  0.5000  0.5000  8 Te 3.20

Properties
V (Å³/atom): 25.22
ΔE_f (raw) (meV/atom): 517
Total magnetization (μB per formula unit): 0.00
E above lowest polymorph (eV per atom): 0.778

---

# 2
This record from Alexandria describes a relaxed structure of AuF5. The functional is PBE.

Lattice parameters (Å, degrees): 9.7172 15.3850 5.0393 90.00 90.00 90.00
Closest atoms and distances in Å follow each position.
Positions (direct):
Au  0.1450  0.1457  0.0687  6 F 1.91-2.08
Au  0.1450  0.3543  0.0687  6 F 1.91-2.08
Au  0.3550  0.6457  0.5687  6 F 1.91-2.08
Au  0.3550  0.8543  0.5687  6 F 1.91-2.08
Au  0.6450  0.1457  0.4313  6 F 1.91-2.08
Au  0.6450  0.3543  0.4313  6 F 1.91-2.08
Au  0.8550  0.6457  0.9313  6 F 1.91-2.08
Au  0.8550  0.8543  0.9313  6 F 1.91-2.08
F  0.0162  0.1456  0.7737  1 Au 1.94
F  0.0162  0.3544  0.7737  1 Au 1.94
F  0.0393  0.2500  0.2322  2 Au 2.08
F  0.0440  0.0560  0.2437  1 Au 1.91
F  0.0440  0.4440  0.2437  1 Au 1.91
F  0.2259  0.6511  0.8628  1 Au 1.94
F  0.2259  0.8489  0.8628  1 Au 1.94
F  0.2458  0.2500  0.8961  2 Au 2.07
F  0.2467  0.5574  0.4037  1 Au 1.91
F  0.2467  0.9426  0.4037  1 Au 1.91
F  0.2533  0.0574  0.9037  1 Au 1.91
F  0.2533  0.4426  0.9037  1 Au 1.91
F  0.2542  0.7500  0.3961  2 Au 2.07
F  0.2741  0.1511  0.3628  1 Au 1.94
F  0.2741  0.3489  0.3628  1 Au 1.94
F  0.4560  0.5560  0.7437  1 Au 1.91
F  0.4560  0.9440  0.7437  1 Au 1.91
F  0.4607  0.7500  0.7322  2 Au 2.08
F  0.4838  0.6456  0.2737  1 Au 1.94
F  0.4838  0.8544  0.2737  1 Au 1.94
F  0.5162  0.1456  0.7263  1 Au 1.94
F  0.5162  0.3544  0.7263  1 Au 1.94
F  0.5393  0.2500  0.2678  2 Au 2.08
F  0.5440  0.0560  0.2563  1 Au 1.91
F  0.5440  0.4440  0.2563  1 Au 1.91
F  0.7259  0.6511  0.6372  1 Au 1.94
F  0.7259  0.8489  0.6372  1 Au 1.94
F  0.7458  0.2500  0.6039  2 Au 2.07
F  0.7467  0.5574  0.0963  1 Au 1.91
F  0.7467  0.9426  0.0963  1 Au 1.91
F  0.7533  0.0574  0.5963  1 Au 1.91
F  0.7533  0.4426  0.5963  1 Au 1.91
F  0.7542  0.7500  0.1039  2 Au 2.07
F  0.7741  0.1511  0.1372  1 Au 1.94
F  0.7741  0.3489  0.1372  1 Au 1.94
F  0.9560  0.5560  0.7563  1 Au 1.91
F  0.9560  0.9440  0.7563  1 Au 1.91
F  0.9607  0.7500  0.7678  2 Au 2.08
F  0.9838  0.6456  0.2263  1 Au 1.94
F  0.9838  0.8544  0.2263  1 Au 1.94

Properties
V (Å³/atom): 15.70
ΔE_f (raw) (meV/atom): -767
Total magnetization (μB per formula unit): 0.00
E above lowest polymorph (eV per atom): 0.000

---

# 3
This record from Alexandria describes a relaxed structure of HfBiSb3. The functional is PBE.

Lattice parameters (Å, degrees): 5.5168 5.5168 5.5168 90.00 90.00 90.00
Closest atoms and distances in Å follow each position.
Positions (direct):
Hf  0.0000  0.0000  0.0000  6 Sb 2.76
Bi  0.5000  0.5000  0.5000  12 Sb 3.90
Sb  0.0000  0.0000  0.5000  2 Hf 2.76
Sb  0.0000  0.5000  0.0000  2 Hf 2.76
Sb  0.5000  0.0000  0.0000  2 Hf 2.76

Properties
V (Å³/atom): 33.58
ΔE_f (raw) (meV/atom): 343
Total magnetization (μB per formula unit): 0.00
E above lowest polymorph (eV per atom): 0.000

---

# 4
This record from Alexandria describes a relaxed structure of ZrCr2Fe. The functional is PBE.

Lattice parameters (Å, degrees): 6.0091 6.0091 6.0091 90.00 90.00 90.00
Closest atoms and distances in Å follow each position.
Positions (direct):
Zr  0.0000  0.0000  0.0000  8 Cr 2.60
Zr  0.0000  0.5000  0.5000  8 Cr 2.60
Zr  0.5000  0.0000  0.5000  8 Cr 2.60
Zr  0.5000  0.5000  0.0000  8 Cr 2.60
Cr  0.2500  0.2500  0.2500  4 Fe 2.60, 4 Zr 2.60
Cr  0.2500  0.2500  0.7500  4 Zr 2.60, 4 Fe 2.60
Cr  0.2500  0.7500  0.2500  4 Zr 2.60, 4 Fe 2.60
Cr  0.2500  0.7500  0.7500  4 Zr 2.60, 4 Fe 2.60
Cr  0.7500  0.2500  0.2500  4 Zr 2.60, 4 Fe 2.60
Cr  0.7500  0.2500  0.7500  4 Zr 2.60, 4 Fe 2.60
Cr  0.7500  0.7500  0.2500  4 Zr 2.60, 4 Fe 2.60
Cr  0.7500  0.7500  0.7500  4 Zr 2.60, 4 Fe 2.60
Fe  0.0000  0.0000  0.5000  8 Cr 2.60
Fe  0.0000  0.5000  0.0000  8 Cr 2.60
Fe  0.5000  0.0000  0.0000  8 Cr 2.60
Fe  0.5000  0.5000  0.5000  8 Cr 2.60

Properties
V (Å³/atom): 13.56
Formation energy (eV per atom): 0.335
Total magnetization (μB per formula unit): 0.00
E above lowest polymorph (eV per atom): 0.203

---

# 5
This record from Alexandria describes a relaxed structure of BaNa3Ga. The functional is PBE.

Lattice parameters (Å, degrees): 6.8669 6.8669 6.8669 90.00 90.00 90.00
Closest atoms and distances in Å follow each position.
Positions (direct):
Ba  0.0000  0.0000  0.0000  6 Na 3.43
Na  0.0000  0.0000  0.5000  2 Ba 3.43
Na  0.0000  0.5000  0.0000  2 Ba 3.43
Na  0.5000  0.0000  0.0000  2 Ba 3.43
Ga  0.5000  0.5000  0.5000  12 Na 4.86

Properties
V (Å³/atom): 64.76
Formation energy (eV per atom): 0.842
Total magnetization (μB per formula unit): 0.00
E above lowest polymorph (eV per atom): 0.765

---

# 6
This record from Alexandria describes a relaxed structure of CrBAu3. The functional is PBE.

Lattice parameters (Å, degrees): 4.8348 4.8348 4.8348 90.00 90.00 90.00
Closest atoms and distances in Å follow each position.
Positions (direct):
Cr  0.0000  0.0000  0.0000  6 Au 2.42
B  0.5000  0.5000  0.5000  12 Au 3.42
Au  0.0000  0.0000  0.5000  2 Cr 2.42
Au  0.0000  0.5000  0.0000  2 Cr 2.42
Au  0.5000  0.0000  0.0000  2 Cr 2.42

Properties
V (Å³/atom): 22.60
Formation energy (eV per atom): 1.863
Total magnetization (μB per formula unit): 0.00
E above lowest polymorph (eV per atom): 1.493

---

# 7
This record from Alexandria describes a relaxed structure of NbNiB2. The functional is PBE.

Lattice parameters (Å, degrees): 5.4311 3.2621 8.8546 90.00 90.00 90.00
Closest atoms and distances in Å follow each position.
Positions (direct):
Nb  0.1306  0.2500  0.1437  8 B 2.44-2.52, 3 Ni 2.65-2.71
Nb  0.3694  0.7500  0.6437  8 B 2.44-2.52, 3 Ni 2.65-2.71
Nb  0.6306  0.2500  0.3563  8 B 2.44-2.52, 3 Ni 2.65-2.71
Nb  0.8694  0.7500  0.8563  8 B 2.44-2.52, 3 Ni 2.65-2.71
Ni  0.1435  0.2500  0.4424  5 B 2.06-2.13
Ni  0.3565  0.7500  0.9424  5 B 2.06-2.13
Ni  0.6435  0.2500  0.0576  5 B 2.06-2.13
Ni  0.8565  0.7500  0.5576  5 B 2.06-2.13
B  0.0296  0.2500  0.6696  2 B 1.74-1.78
B  0.2019  0.2500  0.8356  2 B 1.74-1.78
B  0.2981  0.7500  0.3356  2 B 1.74-1.78
B  0.4704  0.7500  0.1696  2 B 1.74-1.78
B  0.5296  0.2500  0.8304  2 B 1.74-1.78
B  0.7019  0.2500  0.6644  2 B 1.74-1.78
B  0.7981  0.7500  0.1644  2 B 1.74-1.78
B  0.9704  0.7500  0.3304  2 B 1.74-1.78

Properties
V (Å³/atom): 9.80
Formation energy (eV per atom): -0.614
Total magnetization (μB per formula unit): 0.00
E above lowest polymorph (eV per atom): 0.011

---

# 8
This record from Alexandria describes a relaxed structure of CaIrSe2. The functional is PBE.

Lattice parameters (Å, degrees): 3.7377 4.9777 10.8642 90.00 90.00 90.00
Closest atoms and distances in Å follow each position.
Positions (direct):
Ca  0.0000  0.0000  0.0000  4 Se 2.98, 4 Ir 3.11
Ca  0.5000  0.5000  0.5000  4 Se 2.98, 4 Ir 3.11
Ir  0.0000  0.0000  0.5000  4 Se 2.49
Ir  0.5000  0.5000  0.0000  4 Se 2.49
Se  0.0000  0.5000  0.1511  2 Ir 2.49
Se  0.0000  0.5000  0.8489  2 Ir 2.49
Se  0.5000  0.0000  0.3489  2 Ir 2.49
Se  0.5000  0.0000  0.6511  2 Ir 2.49

Properties
V (Å³/atom): 25.27
ΔE_f (raw) (meV/atom): -744
Total magnetization (μB per formula unit): 0.00
E above lowest polymorph (eV per atom): 0.000